A geometry-optimized BaAl3Ni structure, computed with PBE.

Cell lengths 4.755, 4.755, 4.755 Å; angles 90.00, 90.00, 90.00 degrees
Sites, in units of the cell vectors:
Ba 0.000 0.000 0.000
Al 0.000 0.500 0.500
Al 0.500 0.000 0.500
Al 0.500 0.500 0.000
Ni 0.500 0.500 0.500

Summary:
Total moment (μB/f.u.): 0.00
Space-group type: No. 221
Calculated density (g/cm3): 4.28
E_tot (eV/atom): -4.00
Energy of formation from the pure elements (eV/f.u.): -1.067

=====

A geometry-optimized BaAlNi2 structure, computed with PBE.

Cell lengths 3.167, 3.277, 7.318 Å; angles 90.00, 90.00, 90.00 degrees
Sites, in units of the cell vectors:
Ba 0.000 0.000 0.000
Al 0.500 0.500 0.375
Ni 0.000 0.000 0.529
Ni 0.500 0.500 0.696

Summary:
Total moment (μB/f.u.): 0.06
Space-group type: No. 25
Calculated density (g/cm3): 6.16
E_tot (eV/atom): -4.19
Energy of formation from the pure elements (eV/f.u.): 0.486

=====

A geometry-optimized BaAlNi3 structure, computed with PBE.

Cell lengths 4.905, 4.905, 4.905 Å; angles 90.00, 90.00, 90.00 degrees
Sites, in units of the cell vectors:
Ba 0.000 0.000 0.000
Al 0.500 0.500 0.500
Ni 0.000 0.000 0.500
Ni 0.000 0.500 0.000
Ni 0.500 0.000 0.000

Summary:
Total moment (μB/f.u.): 0.00
Space-group type: No. 221
Calculated density (g/cm3): 4.79
E_tot (eV/atom): -2.88
Energy of formation from the pure elements (eV/f.u.): 8.594